No. 1
Entry from the Alexandria database: a relaxed structure of Ac2Mg16Ru (GGA-PBE).

abc: 7.8063 7.8063 7.8063
angles: 83.35 83.35 83.35
Last column: nearest neighbours and their distance in Å.
Sites, in units of the cell vectors:
Mg1 0.6571 0.6571 0.1463  8 Mg 2.89-3.21, 1 Ru 3.12
Mg2 0.7128 0.9987 0.2852  9 Mg 2.89-3.21
Mg3 0.1463 0.6571 0.6571  8 Mg 2.89-3.21, 1 Ru 3.12
Mg4 0.9987 0.7128 0.2852  9 Mg 2.89-3.21
Mg5 0.6571 0.1463 0.6571  8 Mg 2.89-3.21, 1 Ru 3.12
Mg6 0.9987 0.2852 0.7128  9 Mg 2.89-3.21
Mg7 0.3524 0.8463 0.3524  8 Mg 3.05-3.18
Mg8 0.7128 0.2852 0.9987  9 Mg 2.89-3.21
Mg9 0.2852 0.9987 0.7128  9 Mg 2.89-3.21
Mg10 0.9922 0.9922 0.5191  8 Mg 2.89-3.11, 1 Ru 2.96
Mg11 0.2852 0.7128 0.9987  9 Mg 2.89-3.21
Mg12 0.3524 0.3524 0.8463  8 Mg 3.05-3.18
Mg13 0.8463 0.3524 0.3524  8 Mg 3.05-3.18
Mg14 0.0788 0.0788 0.0788  1 Ru 2.82
Mg15 0.9922 0.5191 0.9922  8 Mg 2.89-3.11, 1 Ru 2.96
Mg16 0.5191 0.9922 0.9922  8 Mg 2.89-3.11, 1 Ru 2.96
Ac1 0.3380 0.3380 0.3380  19 Mg 3.73-4.06
Ac2 0.6836 0.6836 0.6836  1 Ru 3.11
Ru1 0.8911 0.8911 0.8911  7 Mg 2.82-3.12, 1 Ac 3.11

Results
Symmetry: R3m
Formation energy from the elements in kJ per mole of atoms: -4

---

No. 2
Entry from the Alexandria database: a relaxed structure of Ac12MgRu7 (GGA-PBE).

abc: 9.5329 9.5329 9.5329
angles: 110.06 110.06 110.06
Last column: nearest neighbours and their distance in Å.
Sites, in units of the cell vectors:
Ac1 0.6689 0.5933 0.8742  3 Ru 3.00-3.13
Ac2 0.8742 0.6689 0.5933  3 Ru 3.00-3.13
Ac3 0.3311 0.4067 0.1258  3 Ru 3.00-3.13
Ac4 0.0948 0.6614 0.2389  3 Ru 2.83-2.95
Ac5 0.7611 0.9052 0.3386  3 Ru 2.83-2.95
Ac6 0.5933 0.8742 0.6689  3 Ru 3.00-3.13
Ac7 0.4067 0.1258 0.3311  3 Ru 3.00-3.13
Ac8 0.9052 0.3386 0.7611  3 Ru 2.83-2.95
Ac9 0.6614 0.2389 0.0948  3 Ru 2.83-2.95
Ac10 0.1258 0.3311 0.4067  3 Ru 3.00-3.13
Ac11 0.3386 0.7611 0.9052  3 Ru 2.83-2.95
Ac12 0.2389 0.0948 0.6614  3 Ru 2.83-2.95
Mg1 0.0000 0.0000 0.0000  6 Ru 2.79
Ru1 0.0505 0.7191 0.9493  1 Mg 2.79, 4 Ac 2.83-3.00
Ru2 0.2809 0.0507 0.9495  1 Mg 2.79, 4 Ac 2.83-3.00
Ru3 0.9495 0.2809 0.0507  1 Mg 2.79, 4 Ac 2.83-3.00
Ru4 0.7191 0.9493 0.0505  1 Mg 2.79, 4 Ac 2.83-3.00
Ru5 0.9493 0.0505 0.7191  1 Mg 2.79, 4 Ac 2.83-3.00
Ru6 0.0507 0.9495 0.2809  1 Mg 2.79, 4 Ac 2.83-3.00
Ru7 0.5000 0.5000 0.5000  6 Ac 3.00

Results
Symmetry: R-3
Formation energy from the elements in kJ per mole of atoms: -13

---

Question: Look up the formation energy from the elements of the second one.
Answer: -13 kJ per mole of atoms